[1]
BaMgGePd | the Open Quantum Materials Database | GGA-PBE | optimized geometry; symmetry = F-43m (216); E_tot = -3.49 eV per atom; ρ = 5989 kg/m3
1.0
0.000 3.615 3.615
3.615 0.000 3.615
3.615 3.615 0.000
Ba Mg Ge Pd
1 1 1 1
Direct
0.000 0.000 0.000
0.250 0.250 0.250
0.750 0.750 0.750
0.500 0.500 0.500

[2]
BaMgGePd | the Open Quantum Materials Database | GGA-PBE | optimized geometry; symmetry = F-43m (216); E_tot = -3.54 eV per atom; ρ = 5685 kg/m3
1.0
0.000 3.678 3.678
3.678 0.000 3.678
3.678 3.678 0.000
Ba Mg Ge Pd
1 1 1 1
Direct
0.000 0.000 0.000
0.500 0.500 0.500
0.250 0.250 0.250
0.750 0.750 0.750

[3]
BaMgGePd | the Open Quantum Materials Database | GGA-PBE | optimized geometry; symmetry = F-43m (216); E_tot = -3.47 eV per atom; ρ = 5999 kg/m3
1.0
0.000 3.613 3.613
3.613 0.000 3.613
3.613 3.613 0.000
Ba Mg Ge Pd
1 1 1 1
Direct
0.000 0.000 0.000
0.750 0.750 0.750
0.500 0.500 0.500
0.250 0.250 0.250

[4]
BaMgGePt | the Open Quantum Materials Database | GGA-PBE | optimized geometry; total magnetization = 0.001 Bohr magnetons per cell; symmetry = F-43m (216); E_tot = -3.66 eV per atom; ρ = 7653 kg/m3
1.0
0.000 3.598 3.598
3.598 0.000 3.598
3.598 3.598 0.000
Ba Mg Ge Pt
1 1 1 1
Direct
0.000 0.000 0.000
0.750 0.750 0.750
0.500 0.500 0.500
0.250 0.250 0.250

[5]
BaMgGePt | the Open Quantum Materials Database | GGA-PBE | optimized geometry; total magnetization = 0.003 Bohr magnetons per cell; symmetry = F-43m (216); E_tot = -3.75 eV per atom; ρ = 7920 kg/m3
1.0
0.000 3.557 3.557
3.557 0.000 3.557
3.557 3.557 0.000
Ba Mg Ge Pt
1 1 1 1
Direct
0.000 0.000 0.000
0.250 0.250 0.250
0.750 0.750 0.750
0.500 0.500 0.500

[6]
BaMgGePt | the Open Quantum Materials Database | GGA-PBE | optimized geometry; total magnetization = 0.001 Bohr magnetons per cell; symmetry = F-43m (216); E_tot = -3.75 eV per atom; ρ = 7351 kg/m3
1.0
0.000 3.647 3.647
3.647 0.000 3.647
3.647 3.647 0.000
Ba Mg Ge Pt
1 1 1 1
Direct
0.000 0.000 0.000
0.500 0.500 0.500
0.250 0.250 0.250
0.750 0.750 0.750